## one
# Er2BeSi3 | Alexandria | PBE | relaxed
# - Magnetization: 0.00 μB/cell
# - Mass density: 6.76 Mg/m³
data_Er2BeSi3
_chemical_formula_sum 'Er2 Be1 Si3'
_cell_length_a 3.9317
_cell_length_b 3.9723
_cell_length_c 6.7303
_cell_angle_alpha 90.00
_cell_angle_beta 90.00
_cell_angle_gamma 90.00
_symmetry_space_group_name_H-M 'P m m 2'
_symmetry_Int_Tables_number 25
loop_
_symmetry_equiv_pos_as_xyz
'x,y,z'
'-x,-y,z'
'-x,y,z'
'x,-y,z'
loop_
_atom_site_label
_atom_site_fract_x
_atom_site_fract_y
_atom_site_fract_z
Er1 0.0000 0.0000 0.0000
Er2 0.5000 0.0000 0.4993
Be1 0.5000 0.5000 0.1728
Si1 0.0000 0.5000 0.3189
Si2 0.0000 0.5000 0.6643
Si3 0.5000 0.5000 0.8488

## two
# Er2BeSi3 | Alexandria | PBE | relaxed
# - Magnetization: 0.00 μB/cell
# - Mass density: 6.79 Mg/m³
data_Er2BeSi3
_chemical_formula_sum 'Er16 Be8 Si24'
_cell_length_a 7.8232
_cell_length_b 7.9029
_cell_length_c 13.5407
_cell_angle_alpha 90.00
_cell_angle_beta 90.00
_cell_angle_gamma 90.00
_symmetry_space_group_name_H-M 'F m m m'
_symmetry_Int_Tables_number 69
_symmetry_space_group_name_Hall '-F 2 2'
loop_
_atom_site_label
_atom_site_fract_x
_atom_site_fract_y
_atom_site_fract_z
Er1 0.0000 0.2458 0.0000
Er2 0.2500 0.2500 0.2500
Be1 0.0000 0.0000 0.3335
Si1 0.0000 0.0000 0.1726
Si2 0.2387 0.0000 0.4139

two has the most favorable energy; the next structure is 1.6 kJ/mol of atoms above.

## one
# Er2BeSi | Alexandria | PBE | relaxed
# - Magnetization: 0.00 μB/cell
# - Mass density: 6.13 Mg/m³
data_Er2BeSi
_chemical_formula_sum 'Er6 Be3 Si3'
_cell_length_a 3.4555
_cell_length_b 3.4555
_cell_length_c 29.2028
_cell_angle_alpha 90.00
_cell_angle_beta 90.00
_cell_angle_gamma 120.00
_symmetry_space_group_name_H-M 'R -3 m'
_symmetry_Int_Tables_number 166
_symmetry_space_group_name_Hall '-R 3 2"'
loop_
_atom_site_label
_atom_site_fract_x
_atom_site_fract_y
_atom_site_fract_z
Er1 0.0000 0.0000 0.0980
Be1 0.0000 0.0000 0.0000
Si1 0.0000 0.0000 0.5000

## two
# Er2BeSi | Alexandria | PBE | relaxed
# - Magnetization: 0.00 μB/cell
# - Mass density: 7.44 Mg/m³
data_Er2BeSi
_chemical_formula_sum 'Er4 Be2 Si2'
_cell_length_a 3.8444
_cell_length_b 4.1126
_cell_length_c 10.4976
_cell_angle_alpha 90.00
_cell_angle_beta 90.00
_cell_angle_gamma 90.00
_symmetry_space_group_name_H-M 'A m m 2'
_symmetry_Int_Tables_number 38
loop_
_symmetry_equiv_pos_as_xyz
'x,y,z'
'-x,-y,z'
'-x,y,z'
'x,-y,z'
'x,y+1/2,z+1/2'
'-x,-y+1/2,z+1/2'
'-x,y+1/2,z+1/2'
'x,-y+1/2,z+1/2'
loop_
_atom_site_label
_atom_site_fract_x
_atom_site_fract_y
_atom_site_fract_z
Er1 0.0000 0.0000 0.0000
Er2 0.5000 0.0000 0.2845
Be1 0.5000 0.0000 0.5825
Si1 0.0000 0.0000 0.7050

two has the most favorable energy; the next structure is 95.6 kJ/mol of atoms above.